Arrangement a

# TiMn2Cu2 (PBE, relaxed)
data_TiMn2Cu2
_space_group_name_H-M_alt 'P 4/m b m'
_space_group_IT_number 127
_space_group_name_Hall '-P 4 2ab'
_cell_length_a 6.983
_cell_length_b 6.983
_cell_length_c 2.875
_cell_angle_alpha 90.00
_cell_angle_beta 90.00
_cell_angle_gamma 90.00
loop_
_atom_site_label
_atom_site_fract_x
_atom_site_fract_y
_atom_site_fract_z
Ti1 0.000 0.000 0.000
Mn1 0.156 0.344 0.000
Cu1 0.139 0.639 0.500
# Total moment: 5.409 μB/f.u.
# D(E_F): 0.428 states/eV/atom


Arrangement b

# TiMn2Cu2 (PBE, relaxed)
data_TiMn2Cu2
_space_group_name_H-M_alt 'P 4/m b m'
_space_group_IT_number 127
_space_group_name_Hall '-P 4 2ab'
_cell_length_a 7.025
_cell_length_b 7.025
_cell_length_c 2.843
_cell_angle_alpha 90.00
_cell_angle_beta 90.00
_cell_angle_gamma 90.00
loop_
_atom_site_label
_atom_site_fract_x
_atom_site_fract_y
_atom_site_fract_z
Ti1 0.000 0.000 0.000
Mn1 0.173 0.327 0.500
Cu1 0.124 0.624 0.000
# Total moment: 5.418 μB/f.u.
# D(E_F): 0.796 states/eV/atom


Ordering by calculated energy gives the sequence arrangement b, arrangement a, with the first entry being the most stable.


Arrangement a

# MnTlCu2 (PBE, relaxed)
data_MnTlCu2
_space_group_name_H-M_alt 'C 1 2/m 1'
_space_group_IT_number 12
_space_group_name_Hall '-C 2y'
_cell_length_a 8.751
_cell_length_b 3.054
_cell_length_c 4.946
_cell_angle_alpha 90.00
_cell_angle_beta 101.25
_cell_angle_gamma 90.00
loop_
_atom_site_label
_atom_site_fract_x
_atom_site_fract_y
_atom_site_fract_z
Mn1 0.000 0.000 0.000
Tl1 0.000 0.500 0.500
Cu1 0.239 0.500 0.202
# Total moment: 3.843 μB/f.u.
# D(E_F): 0.537 states/eV/atom


Arrangement b

# MnTlCu2 (PBE, relaxed)
data_MnTlCu2
_space_group_name_H-M_alt 'C 1 2/m 1'
_space_group_IT_number 12
_space_group_name_Hall '-C 2y'
_cell_length_a 5.863
_cell_length_b 6.458
_cell_length_c 3.316
_cell_angle_alpha 90.00
_cell_angle_beta 91.95
_cell_angle_gamma 90.00
loop_
_atom_site_label
_atom_site_fract_x
_atom_site_fract_y
_atom_site_fract_z
Mn1 0.000 0.000 0.000
Tl1 0.000 0.500 0.000
Cu1 0.250 0.250 0.500
# Total moment: 3.783 μB/f.u.
# D(E_F): 0.558 states/eV/atom


Ordering by calculated energy gives the sequence arrangement a, arrangement b, with the first entry being the most stable.


Arrangement a

# MnTlCu2 (PBE, relaxed)
data_MnTlCu2
_space_group_name_H-M_alt 'P 1 m 1'
_space_group_IT_number 6
_space_group_name_Hall 'P -2y'
_cell_length_a 3.023
_cell_length_b 4.200
_cell_length_c 5.347
_cell_angle_alpha 90.00
_cell_angle_beta 106.03
_cell_angle_gamma 90.00
loop_
_atom_site_label
_atom_site_fract_x
_atom_site_fract_y
_atom_site_fract_z
Mn1 0.000 0.000 0.000
Tl1 0.677 0.500 0.352
Cu1 0.290 0.000 0.577
Cu2 0.418 0.500 0.834
# Total moment: 4.004 μB/f.u.
# D(E_F): 0.423 states/eV/atom


Arrangement b

# MnTlCu2 (PBE, relaxed)
data_MnTlCu2
_space_group_name_H-M_alt 'P 4 m m'
_space_group_IT_number 99
_space_group_name_Hall 'P 4 -2'
_cell_length_a 3.120
_cell_length_b 3.120
_cell_length_c 6.652
_cell_angle_alpha 90.00
_cell_angle_beta 90.00
_cell_angle_gamma 90.00
loop_
_atom_site_label
_atom_site_fract_x
_atom_site_fract_y
_atom_site_fract_z
Mn1 0.000 0.000 0.000
Tl1 0.500 0.500 0.314
Cu1 0.000 0.000 0.603
Cu2 0.500 0.500 0.792
# Total moment: 3.969 μB/f.u.
# D(E_F): 0.435 states/eV/atom


Ordering by calculated energy gives the sequence arrangement b, arrangement a, with the first entry being the most stable.